Below is a relaxed structure of RbY3Fe, with properties calculated at the GGA-PBE level.

Lattice parameters (Å, degrees): 5.4548 5.4548 5.4548 90.00 90.00 90.00
Positions (direct):
Y1 0.0000 0.5000 0.0000
Y2 0.0000 0.0000 0.5000
Y3 0.5000 0.0000 0.0000
Fe1 0.0000 0.0000 0.0000
Rb1 0.5000 0.5000 0.5000

Results
Energy relative to the lowest polymorph listed for this composition = 0.0 meV/atom
Uncorrected energy = -5.448 eV per atom
Calculated formation energy = 0.3168 eV/atom
Spin magnetization = 0.0000 μB/atom

---

Below is a relaxed structure of Rb2YFe, with properties calculated at the GGA-PBE level.

Lattice parameters (Å, degrees): 5.9895 5.9895 5.9895 60.00 60.00 60.00
Each line ends with the local moment (μB).
Positions (direct):
Y1 0.5000 0.5000 0.5000  0.42
Fe1 0.0000 0.0000 0.0000  -0.14
Rb1 0.2500 0.2500 0.2500  0.02
Rb2 0.7500 0.7500 0.7500  0.02

Results
Energy relative to the lowest polymorph listed for this composition = 637.8 meV/atom
Uncorrected energy = -2.493 eV per atom
Calculated formation energy = 1.7229 eV/atom
Spin magnetization = 0.2308 μB/atom

---

Below is a relaxed structure of Rb2YFe, with properties calculated at the GGA-PBE level.

Lattice parameters (Å, degrees): 13.3883 13.3883 9.7607 46.70 46.70 90.00
Each line ends with the local moment (μB).
Positions (direct):
Y1 0.0000 0.0000 0.0000  -0.06
Y2 0.7500 0.2500 0.5000  -0.06
Fe1 0.5000 0.5000 0.0000  0.07
Fe2 0.2500 0.7500 0.5000  0.05
Rb1 0.4674 0.1250 0.2500  -0.01
Rb2 0.2826 0.6250 0.2500  -0.01
Rb3 0.3750 0.5326 0.7500  -0.01
Rb4 0.8750 0.7174 0.7500  -0.01

Results
Energy relative to the lowest polymorph listed for this composition = 0.0 meV/atom
Uncorrected energy = -3.130 eV per atom
Calculated formation energy = 1.0851 eV/atom
Spin magnetization = 0.0582 μB/atom

---

Below is a relaxed structure of RbZnFe3, with properties calculated at the GGA-PBE level.

Lattice parameters (Å, degrees): 4.7999 4.7999 4.7999 90.00 90.00 90.00
Each line ends with the local moment (μB).
Positions (direct):
Zn1 0.0000 0.0000 0.0000  -0.07
Fe1 0.0000 0.5000 0.0000  3.21
Fe2 0.0000 0.0000 0.5000  2.97
Fe3 0.5000 0.0000 0.0000  2.92
Rb1 0.5000 0.5000 0.5000  0.00

Results
Energy relative to the lowest polymorph listed for this composition = 0.0 meV/atom
Uncorrected energy = -4.213 eV per atom
Calculated formation energy = 1.3130 eV/atom
Spin magnetization = 1.8178 μB/atom

---

Below is a relaxed structure of RbZn3Fe, with properties calculated at the GGA-PBE level.

Lattice parameters (Å, degrees): 4.8957 4.8957 4.8957 90.00 90.00 90.00
Each line ends with the local moment (μB).
Positions (direct):
Zn1 0.0000 0.5000 0.0000  -0.02
Zn2 0.0000 0.0000 0.5000  -0.02
Zn3 0.5000 0.0000 0.0000  -0.06
Fe1 0.0000 0.0000 0.0000  1.93
Rb1 0.5000 0.5000 0.5000  -0.02

Results
Energy relative to the lowest polymorph listed for this composition = 0.0 meV/atom
Uncorrected energy = -2.321 eV per atom
Calculated formation energy = 0.3297 eV/atom
Spin magnetization = 0.3218 μB/atom

---

Below is a relaxed structure of RbZn2Fe, with properties calculated at the GGA-PBE level.

Lattice parameters (Å, degrees): 5.3982 5.3982 9.1049 72.76 72.76 90.00
Each line ends with the local moment (μB).
Positions (direct):
Zn1 0.3751 0.1250 0.2500  -0.03
Zn2 0.3749 0.6250 0.2500  -0.03
Zn3 0.3750 0.6249 0.7500  -0.01
Zn4 0.8750 0.6251 0.7500  -0.01
Fe1 0.5000 0.5000 0.0000  2.72
Fe2 0.2500 0.7500 0.5000  2.72
Rb1 0.0000 0.0000 0.0000  0.01
Rb2 0.7500 0.2500 0.5000  0.01

Results
Energy relative to the lowest polymorph listed for this composition = 0.0 meV/atom
Uncorrected energy = -2.424 eV per atom
Calculated formation energy = 0.5709 eV/atom
Spin magnetization = 0.7253 μB/atom

---

Below is a relaxed structure of RbZn2Fe, with properties calculated at the GGA-PBE level.

Lattice parameters (Å, degrees): 5.1173 5.1173 5.1173 60.00 60.00 60.00
Each line ends with the local moment (μB).
Positions (direct):
Zn1 0.2500 0.2500 0.2500  -0.02
Zn2 0.7500 0.7500 0.7500  -0.02
Fe1 0.0000 0.0000 0.0000  3.05
Rb1 0.5000 0.5000 0.5000  -0.01

Results
Energy relative to the lowest polymorph listed for this composition = 273.4 meV/atom
Uncorrected energy = -2.150 eV per atom
Calculated formation energy = 0.8443 eV/atom
Spin magnetization = 0.7425 μB/atom

---

Below is a relaxed structure of RbZnFe3, with properties calculated at the GGA-PBE level.

Lattice parameters (Å, degrees): 4.6542 4.6542 4.6542 90.00 90.00 90.00
Each line ends with the local moment (μB).
Positions (direct):
Zn1 0.5000 0.5000 0.5000  -0.02
Fe1 0.0000 0.5000 0.0000  2.67
Fe2 0.0000 0.0000 0.5000  2.40
Fe3 0.5000 0.0000 0.0000  2.62
Rb1 0.0000 0.0000 0.0000  -0.04

Results
Energy relative to the lowest polymorph listed for this composition = 1229.9 meV/atom
Uncorrected energy = -2.983 eV per atom
Calculated formation energy = 2.5428 eV/atom
Spin magnetization = 1.4744 μB/atom

---

Below is a relaxed structure of Rb3ZnFe, with properties calculated at the GGA-PBE level.

Lattice parameters (Å, degrees): 6.7048 6.7048 6.7048 90.00 90.00 90.00
Each line ends with the local moment (μB).
Positions (direct):
Zn1 0.5000 0.5000 0.5000  -0.01
Fe1 0.0000 0.0000 0.0000  2.82
Rb1 0.0000 0.5000 0.0000  -0.01
Rb2 0.0000 0.0000 0.5000  -0.01
Rb3 0.5000 0.0000 0.0000  -0.01

Results
Energy relative to the lowest polymorph listed for this composition = 0.0 meV/atom
Uncorrected energy = -1.639 eV per atom
Calculated formation energy = 0.8887 eV/atom
Spin magnetization = 0.4963 μB/atom

---

Below is a relaxed structure of RbZn3Fe, with properties calculated at the GGA-PBE level.

Lattice parameters (Å, degrees): 6.4953 6.4953 6.4953 90.00 90.00 90.00
Each line ends with the local moment (μB).
Positions (direct):
Zn1 0.0000 0.5000 0.0000  -0.02
Zn2 0.0000 0.0000 0.5000  -0.01
Zn3 0.5000 0.0000 0.0000  -0.01
Fe1 0.5000 0.5000 0.5000  3.33
Rb1 0.0000 0.0000 0.0000  -0.01

Results
Energy relative to the lowest polymorph listed for this composition = 1180.6 meV/atom
Uncorrected energy = -1.140 eV per atom
Calculated formation energy = 1.5103 eV/atom
Spin magnetization = 0.6286 μB/atom

---

Below is a relaxed structure of Rb2ZrFe, with properties calculated at the GGA-PBE level.

Lattice parameters (Å, degrees): 13.5621 13.5621 9.8576 46.54 46.54 90.00
Each line ends with the local moment (μB).
Positions (direct):
Rb1 0.4578 0.1250 0.2500  0.01
Rb2 0.2922 0.6250 0.2500  0.01
Rb3 0.3750 0.5422 0.7500  0.01
Rb4 0.8750 0.7078 0.7500  0.01
Zr1 0.0000 0.0000 0.0000  0.77
Zr2 0.7500 0.2500 0.5000  0.77
Fe1 0.5000 0.5000 0.0000  -1.85
Fe2 0.2500 0.7500 0.5000  -1.85

Results
Energy relative to the lowest polymorph listed for this composition = 0.0 meV/atom
Uncorrected energy = -3.622 eV per atom
Calculated formation energy = 1.1144 eV/atom
Spin magnetization = 0.1025 μB/atom

---

Below is a relaxed structure of RbZrFe3, with properties calculated at the GGA-PBE level.

Lattice parameters (Å, degrees): 5.0415 5.0415 5.0415 90.00 90.00 90.00
Each line ends with the local moment (μB).
Positions (direct):
Rb1 0.5000 0.5000 0.5000  -0.01
Zr1 0.0000 0.0000 0.0000  -0.79
Fe1 0.0000 0.5000 0.0000  2.84
Fe2 0.0000 0.0000 0.5000  2.78
Fe3 0.5000 0.0000 0.0000  2.68

Results
Energy relative to the lowest polymorph listed for this composition = 0.0 meV/atom
Uncorrected energy = -5.549 eV per atom
Calculated formation energy = 1.4315 eV/atom
Spin magnetization = 1.4640 μB/atom

---

What did the fifth record say?
Below is a relaxed structure of RbZn3Fe, with properties calculated at the GGA-PBE level.

Lattice parameters (Å, degrees): 4.8957 4.8957 4.8957 90.00 90.00 90.00
Each line ends with the local moment (μB).
Positions (direct):
Zn1 0.0000 0.5000 0.0000  -0.02
Zn2 0.0000 0.0000 0.5000  -0.02
Zn3 0.5000 0.0000 0.0000  -0.06
Fe1 0.0000 0.0000 0.0000  1.93
Rb1 0.5000 0.5000 0.5000  -0.02

Results
Energy relative to the lowest polymorph listed for this composition = 0.0 meV/atom
Uncorrected energy = -2.321 eV per atom
Calculated formation energy = 0.3297 eV/atom
Spin magnetization = 0.3218 μB/atom